Compound: LiPuUIr
Source: the Alexandria database
Functional: GGA-PBE
Structure: relaxed

Cell lengths 4.652, 4.652, 4.652 Å; angles 60.00, 60.00, 60.00 degrees
Site moments in Bohr magnetons follow the coordinates.
Sites, in units of the cell vectors:
1 Pu 0.500 0.500 0.500  4.90
2 Ir 0.000 0.000 0.000  -0.15
3 U 0.250 0.250 0.250  1.37
4 Li 0.750 0.750 0.750  -0.01

Summary:
space-group type: F-43m (216)
energy relative to the elements: -22 kJ/mol of atoms
D(E_F): 1.92 states/eV/atom

=====

Compound: RbLiIr2
Source: the Alexandria database
Functional: GGA-PBE
Structure: relaxed

Cell lengths 4.707, 4.707, 4.707 Å; angles 60.00, 60.00, 60.00 degrees
Sites, in units of the cell vectors:
1 Rb 0.500 0.500 0.500
2 Ir 0.750 0.750 0.750
3 Ir 0.250 0.250 0.250
4 Li 0.000 0.000 0.000

Summary:
space-group type: Fm-3m (225)
relative energy among the computed polymorphs: 0.8054 eV/atom
energy relative to the elements: 143 kJ/mol of atoms
D(E_F): 1.59 states/eV/atom

=====

Compound: RbLiIr2
Source: the Alexandria database
Functional: GGA-PBE
Structure: relaxed

Cell lengths 4.511, 4.511, 10.177 Å; angles 77.19, 77.19, 90.00 degrees
Sites, in units of the cell vectors:
1 Rb 0.000 0.000 0.000
2 Rb 0.750 0.250 0.500
3 Li 0.500 0.500 0.000
4 Li 0.250 0.750 0.500
5 Ir 0.875 0.532 0.750
6 Ir 0.282 0.125 0.250
7 Ir 0.468 0.625 0.250
8 Ir 0.375 0.718 0.750

Summary:
space-group type: I-42d (122)
relative energy among the computed polymorphs: 0.0000 eV/atom
energy relative to the elements: 66 kJ/mol of atoms
D(E_F): 0.59 states/eV/atom

=====

Compound: RbLiReIr2
Source: the Alexandria database
Functional: GGA-PBE
Structure: relaxed

Cell lengths 4.769, 5.318, 4.769 Å; angles 90.00, 90.00, 90.00 degrees
Sites, in units of the cell vectors:
1 Rb 0.500 0.500 0.500
2 Li 0.000 0.500 0.000
3 Ir 0.500 0.000 0.000
4 Ir 0.000 0.000 0.500
5 Re 0.000 0.000 0.000

Summary:
space-group type: P4/mmm (123)
energy relative to the elements: 93 kJ/mol of atoms
D(E_F): 0.99 states/eV/atom

=====

Compound: RbLi2IrRu
Source: the Alexandria database
Functional: GGA-PBE
Structure: relaxed

Cell lengths 4.824, 5.124, 4.824 Å; angles 90.00, 90.00, 90.00 degrees
Site moments in Bohr magnetons follow the coordinates.
Sites, in units of the cell vectors:
1 Ru 0.000 0.000 0.000  0.97
2 Ir 0.500 0.500 0.500  1.51
3 Rb 0.000 0.500 0.000  -0.01
4 Li 0.000 0.000 0.500  -0.01
5 Li 0.500 0.000 0.000  -0.02

Summary:
space-group type: P4/mmm (123)
energy relative to the elements: 165 kJ/mol of atoms
D(E_F): 1.67 states/eV/atom

=====

Compound: Rb2LiIrS
Source: the Alexandria database
Functional: GGA-PBE
Structure: relaxed

Cell lengths 6.865, 4.296, 6.865 Å; angles 90.00, 90.00, 90.00 degrees
Sites, in units of the cell vectors:
1 Ir 0.000 0.000 0.000
2 Rb 0.500 0.000 0.000
3 Rb 0.000 0.000 0.500
4 Li 0.500 0.500 0.500
5 S 0.000 0.500 0.000

Summary:
formation energy (no corrections): 0.0022 eV/atom
space-group type: P4/mmm (123)
D(E_F): 0.39 states/eV/atom

=====

Compound: RbLi2SiIr
Source: the Alexandria database
Functional: GGA-PBE
Structure: relaxed

Cell lengths 5.101, 5.101, 4.561 Å; angles 90.00, 90.00, 90.00 degrees
Sites, in units of the cell vectors:
1 Ir 0.000 0.000 0.000
2 Li 0.500 0.000 0.000
3 Li 0.000 0.500 0.000
4 Si 0.000 0.000 0.500
5 Rb 0.500 0.500 0.500

Summary:
formation energy (no corrections): -0.1165 eV/atom
space-group type: P4/mmm (123)
D(E_F): 0.62 states/eV/atom

=====

Compound: RbSr2LiIr
Source: the Alexandria database
Functional: GGA-PBE
Structure: relaxed

Cell lengths 5.892, 5.892, 5.543 Å; angles 90.00, 90.00, 90.00 degrees
Sites, in units of the cell vectors:
1 Sr 0.500 0.000 0.000
2 Sr 0.000 0.500 0.000
3 Ir 0.000 0.000 0.000
4 Li 0.000 0.000 0.500
5 Rb 0.500 0.500 0.500

Summary:
space-group type: P4/mmm (123)
energy relative to the elements: 10 kJ/mol of atoms
D(E_F): 0.48 states/eV/atom

=====

Compound: RbLi2TcIr
Source: the Alexandria database
Functional: GGA-PBE
Structure: relaxed

Cell lengths 4.236, 4.988, 4.236 Å; angles 90.00, 90.00, 90.00 degrees
Site moments in Bohr magnetons follow the coordinates.
Sites, in units of the cell vectors:
1 Rb 0.000 0.000 0.000  0.01
2 Ir 0.500 0.500 0.500  0.57
3 Li 0.000 0.000 0.500  -0.02
4 Li 0.500 0.000 0.000  -0.01
5 Tc 0.000 0.500 0.000  1.22

Summary:
space-group type: P4/mmm (123)
relative energy among the computed polymorphs: 0.0244 eV/atom
energy relative to the elements: 179 kJ/mol of atoms
D(E_F): 0.96 states/eV/atom

=====

Compound: RbLi2TcIr
Source: the Alexandria database
Functional: GGA-PBE
Structure: relaxed

Cell lengths 4.347, 5.277, 4.347 Å; angles 90.00, 90.00, 90.00 degrees
Site moments in Bohr magnetons follow the coordinates.
Sites, in units of the cell vectors:
1 Li 0.000 0.000 0.500  -0.03
2 Li 0.500 0.000 0.000  -0.02
3 Rb 0.000 0.000 0.000  -0.02
4 Ir 0.000 0.500 0.000  0.48
5 Tc 0.500 0.500 0.500  2.80

Summary:
space-group type: P4/mmm (123)
relative energy among the computed polymorphs: 0.0000 eV/atom
energy relative to the elements: 177 kJ/mol of atoms
D(E_F): 0.80 states/eV/atom

=====

Compound: RbLiIrW2
Source: the Alexandria database
Functional: GGA-PBE
Structure: relaxed

Cell lengths 4.851, 6.256, 4.851 Å; angles 90.00, 90.00, 90.00 degrees
Site moments in Bohr magnetons follow the coordinates.
Sites, in units of the cell vectors:
1 Rb 0.000 0.500 0.000  0.01
2 Li 0.500 0.500 0.500  -0.01
3 W 0.000 0.000 0.500  1.00
4 W 0.500 0.000 0.000  1.21
5 Ir 0.000 0.000 0.000  0.07

Summary:
space-group type: P4/mmm (123)
energy relative to the elements: 164 kJ/mol of atoms
D(E_F): 0.96 states/eV/atom

=====

Compound: Li2ReIr
Source: the Alexandria database
Functional: GGA-PBE
Structure: relaxed

Cell lengths 4.949, 4.949, 4.471 Å; angles 77.25, 77.25, 32.05 degrees
Sites, in units of the cell vectors:
1 Re 0.250 0.250 0.250
2 Li 0.494 0.494 0.505
3 Li 0.006 0.006 0.995
4 Ir 0.750 0.750 0.750

Summary:
space-group type: C2/m (12)
relative energy among the computed polymorphs: 0.0734 eV/atom
energy relative to the elements: 2 kJ/mol of atoms
D(E_F): 0.16 states/eV/atom

=====

Compound: LiRe3Ir
Source: the Alexandria database
Functional: GGA-PBE
Structure: relaxed

Cell lengths 4.759, 4.759, 4.759 Å; angles 90.00, 90.00, 90.00 degrees
Site moments in Bohr magnetons follow the coordinates.
Sites, in units of the cell vectors:
1 Ir 0.000 0.000 0.000  -0.03
2 Re 0.000 0.000 0.500  0.46
3 Re 0.500 0.000 0.000  0.59
4 Re 0.000 0.500 0.000  0.60
5 Li 0.500 0.500 0.500  -0.01

Summary:
space-group type: Pm-3m (221)
relative energy among the computed polymorphs: 0.9404 eV/atom
energy relative to the elements: 202 kJ/mol of atoms
D(E_F): 1.34 states/eV/atom

=====

Compound: Li2ReIr
Source: the Alexandria database
Functional: GGA-PBE
Structure: relaxed

Cell lengths 4.127, 4.127, 4.127 Å; angles 60.00, 60.00, 60.00 degrees
Site moments in Bohr magnetons follow the coordinates.
Sites, in units of the cell vectors:
1 Re 0.000 0.000 0.000  0.87
2 Li 0.250 0.250 0.250  -0.01
3 Li 0.750 0.750 0.750  -0.01
4 Ir 0.500 0.500 0.500  0.03

Summary:
space-group type: Fm-3m (225)
relative energy among the computed polymorphs: 0.6613 eV/atom
energy relative to the elements: 59 kJ/mol of atoms
D(E_F): 1.00 states/eV/atom

=====

Compound: LiReIr2
Source: the Alexandria database
Functional: GGA-PBE
Structure: relaxed

Cell lengths 4.490, 4.490, 2.808 Å; angles 90.00, 90.00, 90.00 degrees
Sites, in units of the cell vectors:
1 Ir 0.500 0.500 0.000
2 Ir 0.000 0.000 0.000
3 Li 0.500 0.000 0.500
4 Re 0.000 0.500 0.500

Summary:
space-group type: P4/mmm (123)
energy relative to the elements: 4 kJ/mol of atoms
D(E_F): 1.01 states/eV/atom

=====

Compound: LiReIr2
Source: the Alexandria database
Functional: GGA-PBE
Structure: relaxed

Cell lengths 8.943, 8.943, 8.943 Å; angles 17.78, 17.78, 17.78 degrees
Sites, in units of the cell vectors:
1 Li 0.250 0.250 0.250
2 Ir 0.498 0.498 0.498
3 Ir 0.002 0.002 0.002
4 Re 0.750 0.750 0.750

Summary:
space-group type: R-3m (166)
energy relative to the elements: -4 kJ/mol of atoms
D(E_F): 1.77 states/eV/atom

=====

Compound: LiReIr4
Source: the Alexandria database
Functional: GGA-PBE
Structure: relaxed

Cell lengths 5.109, 5.109, 5.109 Å; angles 60.00, 60.00, 60.00 degrees
Sites, in units of the cell vectors:
1 Li 0.750 0.750 0.750
2 Re 0.000 0.000 0.000
3 Ir 0.873 0.376 0.376
4 Ir 0.376 0.376 0.376
5 Ir 0.376 0.873 0.376
6 Ir 0.376 0.376 0.873

Summary:
space-group type: F-43m (216)
energy relative to the elements: 38 kJ/mol of atoms
D(E_F): 0.95 states/eV/atom

=====

Compound: LiReIr
Source: the Alexandria database
Functional: GGA-PBE
Structure: relaxed

Cell lengths 5.111, 5.111, 5.111 Å; angles 147.05, 147.05, 47.30 degrees
Sites, in units of the cell vectors:
1 Ir 0.993 0.993 0.000
2 Re 0.668 0.668 0.000
3 Li 0.339 0.339 0.000

Summary:
space-group type: I4mm (107)
relative energy among the computed polymorphs: 0.0329 eV/atom
energy relative to the elements: 5 kJ/mol of atoms
D(E_F): 0.42 states/eV/atom

=====

Compound: LiReIr2
Source: the Alexandria database
Functional: GGA-PBE
Structure: relaxed

Cell lengths 5.072, 5.072, 5.072 Å; angles 147.11, 128.73, 62.27 degrees
Sites, in units of the cell vectors:
1 Li 0.504 0.504 0.000
2 Re 0.257 0.757 0.500
3 Ir 0.734 0.234 0.500
4 Ir 0.005 0.005 0.000

Summary:
space-group type: Imm2 (44)
energy relative to the elements: 5 kJ/mol of atoms
D(E_F): 0.64 states/eV/atom

=====

Compound: Li2ReIr
Source: the Alexandria database
Functional: GGA-PBE
Structure: relaxed

Cell lengths 4.760, 4.760, 4.760 Å; angles 144.47, 125.93, 66.38 degrees
Sites, in units of the cell vectors:
1 Re 0.508 0.508 0.000
2 Ir 0.239 0.739 0.500
3 Li 0.771 0.271 0.500
4 Li 0.982 0.982 0.000

Summary:
space-group type: Imm2 (44)
relative energy among the computed polymorphs: 0.2267 eV/atom
energy relative to the elements: 17 kJ/mol of atoms
D(E_F): 0.54 states/eV/atom

=====

Number 1: final energy -0.685 Ry/atom. Number 2: final energy -0.269 Ry/atom. Number 3: final energy -0.329 Ry/atom. Number 4: final energy -0.415 Ry/atom. Number 5: final energy -0.212 Ry/atom. Number 6: final energy -0.247 Ry/atom. Number 7: final energy -0.289 Ry/atom. Number 8: final energy -0.214 Ry/atom. Number 9: final energy -0.217 Ry/atom. Number 10: final energy -0.219 Ry/atom. Number 11: final energy -0.428 Ry/atom. Number 12: final energy -0.460 Ry/atom. Number 13: final energy -0.553 Ry/atom. Number 14: final energy -0.417 Ry/atom. Number 15: final energy -0.586 Ry/atom. Number 16: final energy -0.593 Ry/atom. Number 17: final energy -0.581 Ry/atom. Number 18: final energy -0.565 Ry/atom. Number 19: final energy -0.585 Ry/atom. Number 20: final energy -0.449 Ry/atom.